Entry 1:
A plane-wave DFT calculation with PBE was carried out for a relaxed structure of Er2HfTc.

Cell: 3.1869 3.1869 10.7553 Å, 81.48 81.48 60.00°
With the nearest neighbours (Å) after each atom.
Fractional coordinates of all 4 atoms:
Er: 0.9176 0.9176 0.2471  1 Tc 2.62
Er: 0.0824 0.0824 0.7529  1 Tc 2.62
Hf: 0.5000 0.5000 0.5000  6 Hf 3.19, 6 Er 3.25
Tc: 0.0000 0.0000 0.0000  2 Er 2.62

Values from the calculation:
Energy relative to the elements in eV per atom: 0.591
SG: R-3m, No. 166

---

Entry 2:
A plane-wave DFT calculation with PBE was carried out for a relaxed structure of ErHfTe.

Cell: 4.0505 4.0505 9.8992 Å, 90.00 90.00 90.00°
With the nearest neighbours (Å) after each atom.
Fractional coordinates of all 6 atoms:
Hf: 0.0000 0.5000 0.9419  1 Te 3.08, 4 Hf 3.09, 1 Er 3.23
Er: 0.5000 0.0000 0.7316  4 Te 3.03, 1 Hf 3.23
Te: 0.0000 0.5000 0.6305  4 Er 3.03, 1 Hf 3.08
Er: 0.0000 0.5000 0.2684  4 Te 3.03, 1 Hf 3.23
Hf: 0.5000 0.0000 0.0581  1 Te 3.08, 4 Hf 3.09, 1 Er 3.23
Te: 0.5000 0.0000 0.3695  4 Er 3.03, 1 Hf 3.08

Values from the calculation:
ΔE_f (raw) in eV/atom: -0.689
SG: P4/nmm, No. 129

---

E_tot: -27.08 -39.45 (eV per cell)